1.
Here is a relaxed Y2Zn9Au3 crystal from the Alexandria database. Energies are from PBE.

a b c (Å): 13.065 7.947 9.467
angles (deg): 90.00 90.00 90.00
Space group Cmcm (No. 63)
Symmetry-distinct sites (fractional):
Y 0.158 0.154 0.250 [8 per cell]
Zn 0.000 0.148 0.750 [4 per cell]
Zn 0.000 0.340 0.059 [8 per cell]
Zn 0.101 0.458 0.750 [8 per cell]
Zn 0.161 0.186 0.593 [16 per cell]
Au 0.000 0.000 0.000 [4 per cell]
Au 0.187 0.500 0.000 [8 per cell]

* ΔE_f: -0.38 eV per atom
* uncorrected energy: -0.1039 Ha/atom

=====

2.
Here is a relaxed Y2ZnAu2 crystal from the Alexandria database. Energies are from PBE.

a b c (Å): 8.139 8.139 3.672
angles (deg): 90.00 90.00 90.00
Space group P4/mbm (No. 127)
Symmetry-distinct sites (fractional):
Y 0.163 0.337 0.000 [4 per cell]
Zn 0.000 0.000 0.000 [2 per cell]
Au 0.131 0.631 0.500 [4 per cell]

* ΔE_f: -0.52 eV per atom
* uncorrected energy: -0.1715 Ha/atom

=====

3.
Here is a relaxed Y4Zn2Au crystal from the Alexandria database. Energies are from PBE.

a b c (Å): 5.0413 5.0413 24.4662
angles (deg): 90.00 90.00 120.00
Space group R-3m (No. 166, hexagonal axes)
Symmetry-distinct sites (fractional):
Y 0.0000 0.0000 0.1222 [6 per cell]
Y 0.0000 0.0000 0.3734 [6 per cell]
Zn 0.0000 0.0000 0.2519 [6 per cell]
Au 0.0000 0.0000 0.5000 [3 per cell]

* ΔE_f: -0.34 eV per atom
* uncorrected energy: -0.1789 Ha/atom

=====

4.
Here is a relaxed Y2ZnAu crystal from the Alexandria database. Energies are from PBE.

a b c (Å): 3.772 4.631 5.595
angles (deg): 90.00 102.45 90.00
Space group Pm (No. 6)
Symmetry-distinct sites (fractional):
Y 0.000 0.000 0.000 [1 per cell]
Y 0.224 0.500 0.563 [1 per cell]
Zn 0.551 0.500 0.114 [1 per cell]
Au 0.674 0.000 0.438 [1 per cell]

* ΔE_f: -0.60 eV per atom
* uncorrected energy: -0.1827 Ha/atom

=====

5.
Here is a relaxed YZn6Au4 crystal from the Alexandria database. Energies are from PBE.

a b c (Å): 7.4890 7.4890 4.1189
angles (deg): 90.00 90.00 120.00
Space group P-6m2 (No. 187)
Symmetry-distinct sites (fractional):
Y 0.0000 0.0000 0.0000 [1 per cell]
Zn 0.2045 0.4089 0.5000 [3 per cell]
Zn 0.5386 0.0771 0.0000 [3 per cell]
Au 0.3333 0.6667 0.0000 [1 per cell]
Au 0.3842 0.1921 0.5000 [3 per cell]

* ΔE_f: -0.35 eV per atom
* uncorrected energy: -0.1037 Ha/atom

=====

6.
Here is a relaxed Y2ZnAu2 crystal from the Alexandria database. Energies are from PBE.

a b c (Å): 5.671 5.671 7.832
angles (deg): 90.00 90.00 90.00
Space group I4/mmm (No. 139)
Symmetry-distinct sites (fractional):
Y 0.000 0.500 0.250 [4 per cell]
Zn 0.000 0.000 0.000 [2 per cell]
Au 0.000 0.000 0.335 [4 per cell]

* ΔE_f: -0.44 eV per atom
* uncorrected energy: -0.1688 Ha/atom

=====

7.
Here is a relaxed Y2ZnAu crystal from the Alexandria database. Energies are from PBE.

a b c (Å): 5.077 3.594 10.181
angles (deg): 90.00 90.00 90.00
Space group Pmma (No. 51)
Symmetry-distinct sites (fractional):
Y 0.250 0.000 0.125 [2 per cell]
Y 0.250 0.000 0.625 [2 per cell]
Zn 0.250 0.500 0.382 [2 per cell]
Au 0.250 0.500 0.870 [2 per cell]

* ΔE_f: -0.62 eV per atom
* uncorrected energy: -0.1833 Ha/atom

=====

8.
Here is a relaxed YZnAu2 crystal from the Alexandria database. Energies are from PBE.

a b c (Å): 3.630 3.630 6.218
angles (deg): 90.00 90.00 90.00
Space group P4mm (No. 99)
Symmetry-distinct sites (fractional):
Y 0.000 0.000 0.000 [1 per cell]
Zn 0.500 0.500 0.315 [1 per cell]
Au 0.000 0.000 0.482 [1 per cell]
Au 0.500 0.500 0.758 [1 per cell]

* ΔE_f: -0.49 eV per atom
* uncorrected energy: -0.1491 Ha/atom

=====

9.
Here is a relaxed YZnAu crystal from the Alexandria database. Energies are from PBE.

a b c (Å): 6.743 6.743 6.743
angles (deg): 90.00 90.00 90.00
Space group F-43m (No. 216)
Symmetry-distinct sites (fractional):
Y 0.000 0.000 0.000 [4 per cell]
Zn 0.250 0.250 0.250 [4 per cell]
Au 0.250 0.250 0.750 [4 per cell]

* ΔE_f: -0.17 eV per atom
* uncorrected energy: -0.1412 Ha/atom

=====

10.
Here is a relaxed Y2ZrAu crystal from the Alexandria database. Energies are from PBE.

a b c (Å): 3.5016 3.5016 30.0860
angles (deg): 90.00 90.00 120.00
Space group R3m (No. 160, hexagonal axes)
Symmetry-distinct sites (fractional):
Y 0.0000 0.0000 0.0000 [3 per cell]
Y 0.0000 0.0000 0.2323 [3 per cell]
Zr 0.0000 0.0000 0.7540 [3 per cell]
Au 0.0000 0.0000 0.4907 [3 per cell]

* ΔE_f: -0.13 eV per atom
* uncorrected energy: -0.2323 Ha/atom

=====

11.
Here is a relaxed Y2ZrAu crystal from the Alexandria database. Energies are from PBE.

a b c (Å): 7.280 7.280 7.280
angles (deg): 90.00 90.00 90.00
Space group F-43m (No. 216)
Symmetry-distinct sites (fractional):
Y 0.000 0.000 0.000 [4 per cell]
Y 0.250 0.250 0.250 [4 per cell]
Zr 0.000 0.000 0.500 [4 per cell]
Au 0.250 0.250 0.750 [4 per cell]

* ΔE_f: -0.03 eV per atom
* uncorrected energy: -0.2285 Ha/atom

=====

12.
Here is a relaxed YZr4Au crystal from the Alexandria database. Energies are from PBE.

a b c (Å): 8.290 8.290 8.290
angles (deg): 90.00 90.00 90.00
Space group F-43m (No. 216)
Symmetry-distinct sites (fractional):
Y 0.000 0.000 0.000 [4 per cell]
Zr 0.126 0.126 0.626 [16 per cell]
Au 0.250 0.250 0.250 [4 per cell]

* ΔE_f: 0.17 eV per atom
* uncorrected energy: -0.2629 Ha/atom

=====

13.
Here is a relaxed YZrAu crystal from the Alexandria database. Energies are from PBE.

a b c (Å): 4.179 4.232 16.513
angles (deg): 90.00 90.00 90.00
Space group Imm2 (No. 44)
Symmetry-distinct sites (fractional):
Y 0.000 0.000 0.000 [2 per cell]
Y 0.000 0.000 0.359 [2 per cell]
Zr 0.000 0.500 0.161 [2 per cell]
Zr 0.000 0.500 0.697 [2 per cell]
Au 0.000 0.000 0.544 [2 per cell]
Au 0.000 0.000 0.814 [2 per cell]

* ΔE_f: -0.48 eV per atom
* uncorrected energy: -0.2417 Ha/atom

=====

14.
Here is a relaxed YZr2Au crystal from the Alexandria database. Energies are from PBE.

a b c (Å): 4.272 4.272 10.035
angles (deg): 90.00 90.00 90.00
Space group I4/mmm (No. 139)
Symmetry-distinct sites (fractional):
Y 0.000 0.000 0.000 [2 per cell]
Zr 0.000 0.500 0.250 [4 per cell]
Au 0.000 0.000 0.500 [2 per cell]

* ΔE_f: -0.19 eV per atom
* uncorrected energy: -0.2535 Ha/atom

=====

15.
Here is a relaxed YZrAu crystal from the Alexandria database. Energies are from PBE.

a b c (Å): 3.449 3.449 11.964
angles (deg): 90.00 90.00 90.00
Space group I4mm (No. 107)
Symmetry-distinct sites (fractional):
Y 0.000 0.000 0.000 [2 per cell]
Zr 0.000 0.000 0.310 [2 per cell]
Au 0.000 0.000 0.674 [2 per cell]

* ΔE_f: -0.41 eV per atom
* uncorrected energy: -0.2391 Ha/atom

=====

16.
Here is a relaxed YZr2Au crystal from the Alexandria database. Energies are from PBE.

a b c (Å): 3.353 3.353 8.386
angles (deg): 90.00 90.00 90.00
Space group P4mm (No. 99)
Symmetry-distinct sites (fractional):
Y 0.000 0.000 0.000 [1 per cell]
Zr 0.000 0.000 0.542 [1 per cell]
Zr 0.500 0.500 0.296 [1 per cell]
Au 0.500 0.500 0.753 [1 per cell]

* ΔE_f: -0.32 eV per atom
* uncorrected energy: -0.2584 Ha/atom

=====

17.
Here is a relaxed YZr2Au crystal from the Alexandria database. Energies are from PBE.

a b c (Å): 3.488 5.179 10.270
angles (deg): 90.00 90.00 90.00
Space group Imm2 (No. 44)
Symmetry-distinct sites (fractional):
Y 0.000 0.000 0.000 [2 per cell]
Zr 0.000 0.000 0.533 [2 per cell]
Zr 0.000 0.500 0.774 [2 per cell]
Au 0.000 0.500 0.258 [2 per cell]

* ΔE_f: -0.17 eV per atom
* uncorrected energy: -0.2530 Ha/atom

=====

18.
Here is a relaxed YZr2Au crystal from the Alexandria database. Energies are from PBE.

a b c (Å): 3.298 5.400 5.291
angles (deg): 90.00 97.03 90.00
Space group P2/m (No. 10)
Symmetry-distinct sites (fractional):
Y 0.000 0.000 0.000 [1 per cell]
Zr 0.318 0.500 0.737 [2 per cell]
Au 0.500 0.000 0.500 [1 per cell]

* ΔE_f: -0.15 eV per atom
* uncorrected energy: -0.2520 Ha/atom

=====

19.
Here is a relaxed YZr2Au crystal from the Alexandria database. Energies are from PBE.

a b c (Å): 3.3609 3.3609 29.4951
angles (deg): 90.00 90.00 120.00
Space group R3m (No. 160, hexagonal axes)
Symmetry-distinct sites (fractional):
Y 0.0000 0.0000 0.0000 [3 per cell]
Zr 0.0000 0.0000 0.5103 [3 per cell]
Zr 0.0000 0.0000 0.7611 [3 per cell]
Au 0.0000 0.0000 0.2523 [3 per cell]

* ΔE_f: -0.14 eV per atom
* uncorrected energy: -0.2517 Ha/atom

=====

20.
Here is a relaxed Y3ZrAu crystal from the Alexandria database. Energies are from PBE.

a b c (Å): 5.492 5.492 5.492
angles (deg): 90.00 90.00 90.00
Space group Pm-3m (No. 221)
Symmetry-distinct sites (fractional):
Y 0.000 0.000 0.500 [3 per cell]
Zr 0.500 0.500 0.500 [1 per cell]
Au 0.000 0.000 0.000 [1 per cell]

* ΔE_f: 0.23 eV per atom
* uncorrected energy: -0.2210 Ha/atom

=====

21.
Here is a relaxed Y2ZrAu crystal from the Alexandria database. Energies are from PBE.

a b c (Å): 4.611 4.611 9.253
angles (deg): 90.00 90.00 90.00
Space group I4/mmm (No. 139)
Symmetry-distinct sites (fractional):
Y 0.000 0.500 0.250 [4 per cell]
Zr 0.000 0.000 0.000 [2 per cell]
Au 0.000 0.000 0.500 [2 per cell]

* ΔE_f: -0.14 eV per atom
* uncorrected energy: -0.2325 Ha/atom

=====

22.
Here is a relaxed YZrAu crystal from the Alexandria database. Energies are from PBE.

a b c (Å): 12.410 3.429 6.938
angles (deg): 90.00 106.41 90.00
Space group Cm (No. 8)
Symmetry-distinct sites (fractional):
Y 0.000 0.000 0.000 [2 per cell]
Y 0.197 0.500 0.357 [2 per cell]
Zr 0.007 0.000 0.514 [2 per cell]
Zr 0.187 0.500 0.838 [2 per cell]
Au 0.346 0.000 0.175 [2 per cell]
Au 0.349 0.000 0.679 [2 per cell]

* ΔE_f: -0.40 eV per atom
* uncorrected energy: -0.2388 Ha/atom

=====

23.
Here is a relaxed Y2ZrAu crystal from the Alexandria database. Energies are from PBE.

a b c (Å): 3.654 4.746 6.244
angles (deg): 90.00 106.95 90.00
Space group Pm (No. 6)
Symmetry-distinct sites (fractional):
Y 0.000 0.000 0.000 [1 per cell]
Y 0.324 0.500 0.646 [1 per cell]
Zr 0.597 0.500 0.196 [1 per cell]
Au 0.735 0.000 0.467 [1 per cell]

* ΔE_f: -0.25 eV per atom
* uncorrected energy: -0.2368 Ha/atom

=====

24.
Here is a relaxed Y2ZrAu crystal from the Alexandria database. Energies are from PBE.

a b c (Å): 4.407 4.407 10.159
angles (deg): 90.00 90.00 90.00
Space group I-4m2 (No. 119)
Symmetry-distinct sites (fractional):
Y 0.000 0.000 0.000 [2 per cell]
Y 0.000 0.500 0.250 [2 per cell]
Zr 0.000 0.500 0.750 [2 per cell]
Au 0.000 0.000 0.500 [2 per cell]

* ΔE_f: -0.15 eV per atom
* uncorrected energy: -0.2330 Ha/atom

=====

25.
Here is a relaxed YZrAu crystal from the Alexandria database. Energies are from PBE.

a b c (Å): 3.480 3.480 11.638
angles (deg): 90.00 90.00 90.00
Space group P4mm (No. 99)
Symmetry-distinct sites (fractional):
Y 0.000 0.000 0.000 [1 per cell]
Y 0.000 0.000 0.322 [1 per cell]
Zr 0.000 0.000 0.690 [1 per cell]
Zr 0.500 0.500 0.521 [1 per cell]
Au 0.500 0.500 0.163 [1 per cell]
Au 0.500 0.500 0.829 [1 per cell]

* ΔE_f: -0.48 eV per atom
* uncorrected energy: -0.2417 Ha/atom

=====

26.
Here is a relaxed YZrAu crystal from the Alexandria database. Energies are from PBE.

a b c (Å): 5.0476 5.0476 5.9621
angles (deg): 90.00 90.00 120.00
Space group P6_3/mmc (No. 194)
Symmetry-distinct sites (fractional):
Y 0.3333 0.6667 0.2500 [2 per cell]
Zr 0.3333 0.6667 0.7500 [2 per cell]
Au 0.0000 0.0000 0.0000 [2 per cell]

* ΔE_f: 0.08 eV per atom
* uncorrected energy: -0.2211 Ha/atom

=====

27.
Here is a relaxed YZr2Au crystal from the Alexandria database. Energies are from PBE.

a b c (Å): 5.887 10.841 3.263
angles (deg): 90.00 117.31 90.00
Space group C2/m (No. 12)
Symmetry-distinct sites (fractional):
Y 0.000 0.000 0.000 [2 per cell]
Zr 0.250 0.250 0.500 [4 per cell]
Au 0.000 0.500 0.000 [2 per cell]

* ΔE_f: -0.09 eV per atom
* uncorrected energy: -0.2499 Ha/atom